Record 1
CaAg4Pb4 | Alexandria | PBE-GGA | relaxed; E_form = -0.21 kcal/mol of atoms; size of the total moment = 0.00 μB/cell; symmetry = No. 86; final energy = -3.147 eV/atom; density of states at the Fermi level = 0.50 states/eV per atom
1.0
-0.6725 3.9834 3.6920
-6.0711 -5.2981 4.6104
6.9299 -3.5291 5.0700
Ag Pb Ca
8 8 2
Cartesian
-0.9262 0.6483 3.1802
4.7157 -1.2996 6.3251
1.1137 -5.4998 10.1851
1.0193 -3.0702 3.5060
-2.1198 -0.2000 7.9342
1.6349 -0.6680 9.1231
-4.5307 -3.5365 7.0544
-0.1618 -5.7493 6.1815
1.6974 -2.6747 11.2991
-3.0995 -6.0587 5.9806
1.6029 -0.2447 4.6204
-2.8785 -1.6613 5.3160
3.0662 -3.1906 8.0489
3.9569 -2.7604 3.7073
-1.4180 -4.5910 8.7595
-2.1823 1.8062 5.7577
0.0000 0.0000 0.0000
0.0931 -2.4219 6.6862

---

Record 2
Ca2AgPb5 | Alexandria | PBE-GGA | relaxed; E_form = -6.41 kcal/mol of atoms; size of the total moment = 0.00 μB/cell; symmetry = No. 55; final energy = -3.453 eV/atom; density of states at the Fermi level = 0.46 states/eV per atom
1.0
-3.8546 -2.2491 1.6098
3.9648 -3.4037 4.7383
-2.1043 10.0164 8.9558
Ca Pb Ag
4 10 2
Cartesian
-0.7203 5.0028 12.2558
-1.2737 -0.6392 3.0481
-2.1871 4.2500 7.6919
0.1930 0.1137 7.6121
-0.1287 2.3874 10.0184
0.9303 3.3064 6.8471
0.0000 0.0000 0.0000
1.3799 0.8327 4.4677
0.4806 5.7801 9.2265
-2.6757 6.7770 10.0524
-1.4837 7.3961 6.7806
-1.8654 1.9763 5.2856
3.3443 -0.7833 6.9136
0.6817 -2.4133 5.2516
1.9824 -1.7018 2.3692
-1.0521 5.0082 4.4779

---

Record 3
CaAgPb2 | Alexandria | PBE-GGA | relaxed; E_form = -3.90 kcal/mol of atoms; size of the total moment = 0.00 μB/cell; symmetry = No. 216; final energy = -3.236 eV/atom; density of states at the Fermi level = 0.60 states/eV per atom
1.0
-2.3475 -2.6980 4.0666
-3.6857 -3.8239 -1.0587
1.1935 -5.2161 0.8342
Ag Pb Ca
1 2 1
Cartesian
-2.4199 -5.8690 1.9211
0.0000 0.0000 0.0000
-1.2099 -2.9345 0.9605
-3.6298 -8.8035 2.8816

---

Record 4
CaAgPb | Alexandria | PBE-GGA | relaxed; E_form = -8.93 kcal/mol of atoms; size of the total moment = 0.00 μB/cell; symmetry = No. 187; final energy = -3.241 eV/atom; density of states at the Fermi level = 0.46 states/eV per atom
1.0
2.4761 -4.2887 0.0000
2.4761 4.2887 0.0000
0.0000 0.0000 11.1140
Ca Ag Pb
3 3 3
Cartesian
2.4761 -1.4296 7.4170
2.4761 -1.4296 0.0000
2.4761 -1.4296 3.6970
0.0000 0.0000 8.9321
2.4761 1.4296 5.5570
0.0000 0.0000 2.1819
2.4761 1.4296 9.4295
2.4761 1.4296 1.6844
0.0000 0.0000 5.5570

---

Record 5
Ca2AgPb | Alexandria | PBE-GGA | relaxed; E_form = -5.74 kcal/mol of atoms; size of the total moment = 0.00 μB/cell; symmetry = No. 166; final energy = -2.890 eV/atom; density of states at the Fermi level = 0.54 states/eV per atom
1.0
8.9799 -0.1563 -0.0930
8.1285 3.8197 -0.0930
8.1285 1.7406 3.4013
Pb Ca Ag
1 2 1
Cartesian
6.3092 1.3510 0.8038
0.1558 0.0334 0.0198
12.4627 2.6686 1.5878
18.9277 4.0530 2.4115

---

Record 6
CaAgPb2 | Alexandria | PBE-GGA | relaxed; E_form = -5.64 kcal/mol of atoms; size of the total moment = 0.00 μB/cell; symmetry = No. 10; final energy = -3.312 eV/atom; density of states at the Fermi level = 0.41 states/eV per atom
1.0
4.8046 0.0000 0.0000
0.0000 4.8159 -0.0147
0.0000 4.7933 4.5941
Pb Ag Ca
2 1 1
Cartesian
0.0000 0.0000 0.0000
2.4023 2.4079 -0.0073
2.4023 4.8046 2.2897
0.0000 2.3966 2.2971

---

Record 7
CaAg3Pb3 | Alexandria | PBE-GGA | relaxed; E_form = 7.31 kcal/mol of atoms; size of the total moment = 0.00 μB/cell; symmetry = No. 223; final energy = -2.780 eV/atom; density of states at the Fermi level = 0.43 states/eV per atom
1.0
7.8488 0.0000 0.0000
0.0000 7.8488 0.0000
0.0000 0.0000 7.8488
Pb Ag Ca
6 6 2
Cartesian
1.9622 0.0000 3.9244
3.9244 1.9622 0.0000
5.8866 0.0000 3.9244
3.9244 5.8866 0.0000
0.0000 3.9244 1.9622
0.0000 3.9244 5.8866
0.0000 5.8866 3.9244
3.9244 0.0000 5.8866
0.0000 1.9622 3.9244
3.9244 0.0000 1.9622
1.9622 3.9244 0.0000
5.8866 3.9244 0.0000
3.9244 3.9244 3.9244
0.0000 0.0000 0.0000

---

Record 8
Ca5Ag4Pb | Alexandria | PBE-GGA | relaxed; E_form = -8.46 kcal/mol of atoms; size of the total moment = 0.00 μB/cell; symmetry = No. 123; final energy = -2.879 eV/atom; density of states at the Fermi level = 0.61 states/eV per atom
1.0
-0.2263 -1.3354 -3.4863
3.4539 -1.4007 0.3123
-7.1787 -16.2133 6.6764
Ca Ag Pb
5 4 1
Cartesian
-1.9756 -9.4747 1.7512
-0.5832 -6.3299 0.4562
0.8179 -3.1655 -0.8468
-3.3680 -12.6195 3.0461
-4.7691 -15.7839 4.3492
-1.5057 -3.4006 1.4003
-2.8930 -6.5340 2.6906
-5.6731 -12.8127 5.2761
-4.2857 -9.6793 3.9858
0.0000 0.0000 0.0000